(i)
First-principles (GGA-PBEsol) data for SiW2Se after structural relaxation, as listed in Alexandria via LeMat-Bulk.

Cell: 2.9984 4.5719 4.3947 Å, 90.00 90.00 90.00°
Last column: nearest neighbours and their distance in Å.
Space group Pmm2 (No. 25)
Asymmetric unit:
Si 0.0000 0.0000 0.0000 (multiplicity 1)  6 W 2.59-2.70, 4 Se 2.89
W 0.0000 0.5000 0.7235 (multiplicity 1)  2 Si 2.59, 4 Se 2.63-2.69, 4 W 2.89
W 0.5000 0.0000 0.5103 (multiplicity 1)  4 Si 2.62-2.70, 2 Se 2.63, 4 W 2.89
Se 0.5000 0.5000 0.2159 (multiplicity 1)  6 W 2.63-2.69, 4 Si 2.89

## Properties
theoretical density	13.1	Mg/m³
calculated volume	15.1	Å³/atom

***

(ii)
First-principles (GGA-PBEsol) data for SiW2Se after structural relaxation, as listed in Alexandria via LeMat-Bulk.

Cell: 3.0537 3.0537 23.5340 Å, 90.00 90.00 120.00°
Last column: nearest neighbours and their distance in Å.
Space group R3m (No. 160, hexagonal axes)
Asymmetric unit:
Si 0.0000 0.0000 0.0000 (multiplicity 3)  3 W 2.51, 3 Se 2.75
W 0.0000 0.0000 0.4995 (multiplicity 3)  3 Se 2.54, 3 W 2.76
W 0.0000 0.0000 0.7427 (multiplicity 3)  3 Si 2.51, 3 W 2.76
Se 0.0000 0.0000 0.2438 (multiplicity 3)  3 W 2.54, 3 Si 2.75

## Properties
theoretical density	12.4	Mg/m³
calculated volume	15.8	Å³/atom

***

Which structure is the least stable? The one labeled (ii).

***

(i)
First-principles (GGA-PBEsol) data for SiW2Se after structural relaxation, as listed in Alexandria via LeMat-Bulk.

Cell: 6.1468 6.1468 6.1468 Å, 90.00 90.00 90.00°
Last column: nearest neighbours and their distance in Å.
Space group Fm-3m (No. 225)
Asymmetric unit:
Si 0.0000 0.0000 0.0000 (multiplicity 4)  8 W 2.66
W 0.2500 0.2500 0.2500 (multiplicity 8)  4 Se 2.66, 4 Si 2.66
Se 0.0000 0.0000 0.5000 (multiplicity 4)  8 W 2.66

## Properties
theoretical density	13.6	Mg/m³
calculated volume	14.5	Å³/atom

***

(ii)
First-principles (GGA-PBEsol) data for SiW2Se after structural relaxation, as listed in Alexandria via LeMat-Bulk.

Cell: 4.3610 4.3610 3.0492 Å, 90.00 90.00 90.00°
Last column: nearest neighbours and their distance in Å.
Space group P4/mmm (No. 123)
Asymmetric unit:
Si 0.0000 0.0000 0.0000 (multiplicity 1)  8 W 2.66
W 0.0000 0.5000 0.5000 (multiplicity 2)  4 Se 2.66, 4 Si 2.66
Se 0.5000 0.5000 0.0000 (multiplicity 1)  8 W 2.66

## Properties
theoretical density	13.6	Mg/m³
calculated volume	14.5	Å³/atom

***

Which structure is the least stable? The one labeled (i).

***

(i)
First-principles (GGA-PBEsol) data for Zn2SiSe after structural relaxation, as listed in Alexandria via LeMat-Bulk.

Cell: 6.4365 6.4365 6.4365 Å, 90.00 90.00 90.00°
Last column: nearest neighbours and their distance in Å.
Space group F-43m (No. 216)
Asymmetric unit:
Zn 0.0000 0.0000 0.0000 (multiplicity 4)  4 Si 2.79, 4 Zn 2.79
Zn 0.2500 0.2500 0.2500 (multiplicity 4)  4 Se 2.79, 4 Zn 2.79
Si 0.2500 0.2500 0.7500 (multiplicity 4)  4 Se 2.79, 4 Zn 2.79
Se 0.0000 0.0000 0.5000 (multiplicity 4)  4 Si 2.79, 4 Zn 2.79

## Properties
theoretical density	5.9	Mg/m³
calculated volume	16.7	Å³/atom

***

(ii)
First-principles (GGA-PBEsol) data for Zn2SiSe after structural relaxation, as listed in Alexandria via LeMat-Bulk.

Cell: 3.6714 3.6714 10.2759 Å, 90.00 90.00 90.00°
Last column: nearest neighbours and their distance in Å.
Space group I-4m2 (No. 119)
Asymmetric unit:
Zn 0.0000 0.0000 0.0000 (multiplicity 2)  4 Se 2.60
Zn 0.0000 0.5000 0.2500 (multiplicity 2)  4 Si 2.60
Si 0.0000 0.5000 0.7500 (multiplicity 2)  4 Zn 2.60
Se 0.0000 0.0000 0.5000 (multiplicity 2)  4 Zn 2.60

## Properties
theoretical density	5.7	Mg/m³
calculated volume	17.3	Å³/atom

***

Which structure is the least stable? The one labeled (i).

***

(i)
First-principles (GGA-PBEsol) data for Zr2SiSe after structural relaxation, as listed in Alexandria via LeMat-Bulk.

Cell: 6.6253 6.6253 6.6253 Å, 90.00 90.00 90.00°
Last column: nearest neighbours and their distance in Å.
Space group Fm-3m (No. 225)
Asymmetric unit:
Zr 0.2500 0.2500 0.2500 (multiplicity 8)  4 Se 2.87, 4 Si 2.87
Si 0.0000 0.0000 0.0000 (multiplicity 4)  8 Zr 2.87
Se 0.0000 0.0000 0.5000 (multiplicity 4)  8 Zr 2.87

## Properties
theoretical density	6.6	Mg/m³
calculated volume	18.2	Å³/atom

***

(ii)
First-principles (GGA-PBEsol) data for Zr2SiSe after structural relaxation, as listed in Alexandria via LeMat-Bulk.

Cell: 4.5708 3.2944 9.8085 Å, 90.00 90.00 90.00°
Last column: nearest neighbours and their distance in Å.
Space group Amm2 (No. 38)
Asymmetric unit:
Zr 0.0000 0.0000 0.0000 (multiplicity 2)  3 Si 2.68-2.77, 4 Se 2.84
Zr 0.5000 0.0000 0.2609 (multiplicity 2)  3 Se 2.70-2.75, 4 Si 2.84
Si 0.0000 0.0000 0.7271 (multiplicity 2)  7 Zr 2.68-2.84, 2 Se 2.95
Se 0.5000 0.0000 0.5362 (multiplicity 2)  7 Zr 2.70-2.84, 2 Si 2.95

## Properties
theoretical density	6.5	Mg/m³
calculated volume	18.5	Å³/atom

***

Which structure is the least stable? The one labeled (i).